1.
Li4Pa3PdSe8 | PBE | relaxed

Calculated values
Density ... 6.71 g cm⁻³
Uncorrected formation energy ... -18.7 eV/f.u.
DOS at the Fermi energy ... 19.98 states/eV per cell
SG ... C2/m (12)

Unit cell a=7.971 b=7.971 c=8.021 alpha=119.83 beta=119.83 gamma=59.90
Fractional positions:
Li: 0.000 0.000 0.000
Li: 0.000 0.500 0.000
Li: 0.500 0.000 0.000
Li: 0.500 0.500 0.000
Pa: 0.000 0.000 0.500
Pa: 0.000 0.500 0.500
Pa: 0.500 0.000 0.500
Pd: 0.500 0.500 0.500
Se: 0.249 0.249 0.245
Se: 0.250 0.747 0.246
Se: 0.253 0.750 0.754
Se: 0.255 0.255 0.767
Se: 0.745 0.745 0.233
Se: 0.747 0.250 0.246
Se: 0.750 0.253 0.754
Se: 0.751 0.751 0.755


2.
LiPaPdSe3 | PBE | relaxed

Calculated values
Density ... 7.59 g cm⁻³
Uncorrected formation energy ... -6.6 eV/f.u.
SG ... P2_1/m (11)

Unit cell a=7.575 b=3.873 c=8.874 alpha=90.00 beta=102.20 gamma=90.00
Fractional positions:
Li: 0.160 0.250 0.165
Li: 0.840 0.750 0.835
Pa: 0.313 0.750 0.738
Pa: 0.687 0.250 0.262
Pd: 0.401 0.750 0.408
Pd: 0.599 0.250 0.592
Se: 0.095 0.250 0.848
Se: 0.210 0.250 0.491
Se: 0.421 0.750 0.127
Se: 0.579 0.250 0.873
Se: 0.790 0.750 0.509
Se: 0.905 0.750 0.152


3.
Li2PaPdSe4 | PBE | relaxed

Calculated values
Density ... 6.91 g cm⁻³
Uncorrected formation energy ... -7.4 eV/f.u.
DOS at the Fermi energy ... 9.04 states/eV per cell
SG ... I-42m (121)

Unit cell a=6.960 b=6.960 c=6.625 alpha=90.00 beta=90.00 gamma=90.00
Fractional positions:
Li: 0.000 0.500 0.250
Li: 0.000 0.500 0.750
Li: 0.500 0.000 0.250
Li: 0.500 0.000 0.750
Pa: 0.000 0.000 0.000
Pa: 0.500 0.500 0.500
Pd: 0.000 0.000 0.500
Pd: 0.500 0.500 0.000
Se: 0.224 0.224 0.310
Se: 0.224 0.776 0.690
Se: 0.276 0.276 0.810
Se: 0.276 0.724 0.190
Se: 0.724 0.276 0.190
Se: 0.724 0.724 0.810
Se: 0.776 0.224 0.690
Se: 0.776 0.776 0.310